# Np

An optimized crystal structure of Np (PBE-GGA, OQMD).

## Properties
E in eV per formula unit: -12.8
Energy of formation in meV per atom: 0.0
Energy above the most stable polymorph in this dataset in meV per atom: 0
Density in g/cm3: 22.0
Volume in A^3/atom: 17.93

a = 2.5988 Å, b = 3.2222 Å, c = 4.6794 Å
α = 90.00°, β = 90.00°, γ = 66.22°
With the nearest neighbours (Å) after each atom.
Sites, in units of the cell vectors:
1 Np 0.9181 0.1638 0.2500  4 Np 2.53-2.60
2 Np 0.0819 0.8362 0.7500  4 Np 2.53-2.60

---

# Te2WSeSBr

An optimized crystal structure of Te2WSeSBr (PBE-GGA, OQMD).

## Properties
E in eV per formula unit: -30.0
Energy above the most stable polymorph in this dataset in meV per atom: 78
Density in g/cm3: 5.6
Volume in A^3/atom: 30.90

a = 6.6384 Å, b = 8.2788 Å, c = 8.3224 Å
α = 110.65°, β = 97.91°, γ = 113.62°
With the nearest neighbours (Å) after each atom.
Sites, in units of the cell vectors:
1 Br 0.3303 0.5833 0.2272  1 S 2.96, 1 Te 3.01
2 Br 0.6697 0.4167 0.7728  1 S 2.96, 1 Te 3.01
3 S 0.9192 0.8053 0.0988  1 Se 2.30, 2 W 2.44
4 S 0.0808 0.1947 0.9012  1 Se 2.30, 2 W 2.44
5 Se 0.1188 0.1388 0.2907  1 S 2.30, 2 W 2.57
6 Se 0.8812 0.8612 0.7093  1 S 2.30, 2 W 2.57
7 Te 0.6896 0.3152 0.1854  1 Te 2.76, 2 W 2.89
8 Te 0.5409 0.9931 0.2564  1 Te 2.76, 2 W 2.86, 1 Br 3.01
9 Te 0.4591 0.0069 0.7436  1 Te 2.76, 2 W 2.86, 1 Br 3.01
10 Te 0.3104 0.6848 0.8146  1 Te 2.76, 2 W 2.89
11 W 0.2144 0.0001 0.0004  2 S 2.44, 2 Se 2.57
12 W 0.7856 0.9999 0.9996  2 S 2.44, 2 Se 2.57

---

# Hf2ZrNi2As4Pd2

An optimized crystal structure of Hf2ZrNi2As4Pd2 (PBE-GGA, OQMD).

## Properties
E in eV per formula unit: -77.1
Energy above the most stable polymorph in this dataset in meV per atom: 20
Density in g/cm3: 9.4
Volume in A^3/atom: 17.39

a = 6.5355 Å, b = 3.8581 Å, c = 7.5884 Å
α = 90.00°, β = 91.02°, γ = 90.00°
With the nearest neighbours (Å) after each atom.
Sites, in units of the cell vectors:
1 As 0.2464 0.5000 0.1275  2 Ni 2.48-2.62, 2 Pd 2.56, 2 Hf 2.68, 2 Zr 2.78
2 As 0.7605 0.5000 0.3652  2 Ni 2.46-2.61, 2 Pd 2.55, 2 Hf 2.73, 2 Zr 2.75
3 As 0.2418 0.0000 0.6168  2 Ni 2.41, 2 Pd 2.53-2.56
4 As 0.7675 0.0000 0.8912  2 Ni 2.46, 2 Pd 2.49-2.63, 1 Hf 2.60
5 Hf 0.9712 0.0000 0.1891  5 As 2.60-2.73
6 Hf 0.5342 0.5000 0.6885  5 As 2.76-2.89, 2 Ni 2.87-3.09, 4 Pd 2.90-2.98
7 Ni 0.6372 0.5000 0.0571  4 As 2.46-2.62
8 Ni 0.1517 0.5000 0.4425  4 As 2.41-2.61
9 Pd 0.8523 0.0000 0.5722  4 As 2.49-2.56
10 Pd 0.3690 0.0000 0.9337  4 As 2.53-2.63, 2 Ni 2.76
11 Zr 0.4663 0.0000 0.3136  5 As 2.75-2.78, 1 Pd 2.94, 4 Ni 2.97-3.00

---

# LiLaNp

An optimized crystal structure of LiLaNp (PBE-GGA, OQMD).

## Properties
E in eV per formula unit: -16.8
Energy above the most stable polymorph in this dataset in meV per atom: 0
Density in g/cm3: 7.2
Volume in A^3/atom: 29.44

a = 4.9986 Å, b = 4.9986 Å, c = 4.9986 Å
α = 60.00°, β = 60.00°, γ = 60.00°
With the nearest neighbours (Å) after each atom.
Sites, in units of the cell vectors:
1 La 0.7500 0.7500 0.7500  4 Li 3.06
2 Li 0.0000 0.0000 0.0000  4 Np 3.06, 4 La 3.06
3 Np 0.2500 0.2500 0.2500  4 Li 3.06

---

# YInFeTc

An optimized crystal structure of YInFeTc (PBE-GGA, OQMD).

## Properties
E in eV per formula unit: -26.6
Energy above the most stable polymorph in this dataset in meV per atom: 79
Density in g/cm3: 7.8
Volume in A^3/atom: 18.91

a = 4.7471 Å, b = 4.7471 Å, c = 4.7471 Å
α = 60.00°, β = 60.00°, γ = 60.00°
With the nearest neighbours (Å) after each atom.
Sites, in units of the cell vectors:
1 Fe 0.7500 0.7500 0.7500  4 In 2.91, 4 Tc 2.91
2 In 0.0000 0.0000 0.0000  4 Fe 2.91, 4 Y 2.91
3 Tc 0.5000 0.5000 0.5000  4 Fe 2.91, 4 Y 2.91
4 Y 0.2500 0.2500 0.2500  4 In 2.91, 4 Tc 2.91

---

# NbAg

An optimized crystal structure of NbAg (PBE-GGA, OQMD).

## Properties
E in eV per formula unit: -12.3
Energy of formation in meV per atom: 301.4
Density in g/cm3: 9.4
Volume in A^3/atom: 17.68

a = 2.8578 Å, b = 2.8577 Å, c = 5.0004 Å
α = 90.00°, β = 90.00°, γ = 120.00°
With the nearest neighbours (Å) after each atom.
Sites, in units of the cell vectors:
1 Ag 0.6667 0.3333 0.7500  6 Ag 2.86, 6 Nb 3.00
2 Nb 0.3333 0.6667 0.2500  6 Nb 2.86, 6 Ag 3.00

---

# ZrTlCuPt

An optimized crystal structure of ZrTlCuPt (PBE-GGA, OQMD).

## Properties
E in eV per formula unit: -22.1
Energy above the most stable polymorph in this dataset in meV per atom: 0
Density in g/cm3: 12.7
Volume in A^3/atom: 18.05

a = 4.6736 Å, b = 4.6736 Å, c = 4.6736 Å
α = 60.00°, β = 60.00°, γ = 60.00°
With the nearest neighbours (Å) after each atom.
Sites, in units of the cell vectors:
1 Cu 0.7500 0.7500 0.7500  4 Zr 2.86, 4 Tl 2.86
2 Pt 0.2500 0.2500 0.2500  4 Zr 2.86, 4 Tl 2.86
3 Tl 0.0000 0.0000 0.0000  4 Cu 2.86, 4 Pt 2.86
4 Zr 0.5000 0.5000 0.5000  4 Pt 2.86, 4 Cu 2.86

---

# Gd2O

An optimized crystal structure of Gd2O (PBE-GGA, OQMD).

## Properties
E in eV per formula unit: -17.0
Energy above the most stable polymorph in this dataset in meV per atom: 892
Density in g/cm3: 4.0
Volume in A^3/atom: 46.06

a = 7.3111 Å, b = 7.3111 Å, c = 7.3111 Å
α = 60.00°, β = 60.00°, γ = 60.00°
With the nearest neighbours (Å) after each atom.
Sites, in units of the cell vectors:
1 Gd 0.1250 0.1250 0.1250  2 O 2.24
2 Gd 0.6250 0.1250 0.1250  2 O 2.24
3 Gd 0.1250 0.6250 0.1250  2 O 2.24
4 Gd 0.1250 0.1250 0.6250  2 O 2.24
5 O 0.0000 0.0000 0.0000  4 Gd 2.24
6 O 0.2500 0.2500 0.2500  4 Gd 2.24